[1]
Below is a relaxed structure of LiCd6Rh2, with properties calculated at the GGA-PBE level.

Cell: 8.461 4.515 8.700 Å, 90.00 96.38 90.00°
Space group C2/m (No. 12)
One atom of each set of equivalent atoms:
Li  0.000  0.000  0.000
Cd  0.001  0.000  0.307
Cd  0.165  0.500  0.904
Cd  0.168  0.500  0.564
Rh  0.172  0.500  0.230

Values from the calculation:
The value obtained for the total magnetization is 0.000 μB/cell. The calculation puts the calculated formation energy at -13.97 kJ/mol of atoms. Its raw total energy is -2.60 eV per atom. The calculation puts the density of states at the Fermi level at 9.33 states/eV per cell.

[2]
Below is a relaxed structure of Li6Cd10Rh, with properties calculated at the GGA-PBE level.

Cell: 8.0658 8.0658 5.7169 Å, 90.00 90.00 120.00°
Space group P-31m (No. 162)
One atom of each set of equivalent atoms:
Li  0.0000  0.3602  0.3136
Cd  0.0000  0.2709  0.8059
Cd  0.3333  0.6667  0.0000
Cd  0.3333  0.6667  0.5000
Rh  0.0000  0.0000  0.5000

Values from the calculation:
The value obtained for the total magnetization is 0.000 μB/cell. The calculation puts the calculated formation energy at -16.20 kJ/mol of atoms. Its raw total energy is -1.81 eV per atom. The calculation puts the density of states at the Fermi level at 6.74 states/eV per cell.